Entry from Alexandria via LeMat-Bulk: a relaxed structure of Sr2Au2Se (PBE).

Summary:
For the offset from the most stable computed form, the calculation gives 286 meV per atom. As for the energy relative to the elements, uncorrected: -0.61 eV per atom. Its symmetry is P4/mmm (123). The magnetic moment comes out at 0.0 μB per formula unit. Its uncorrected energy is -16.5 eV/cell.

Unit cell a=5.875 b=5.875 c=5.044 alpha=90.00 beta=90.00 gamma=90.00
Fractional coordinates of all 5 atoms:
Sr  0.000  0.500  0.000
Sr  0.500  0.000  0.000
Au  0.000  0.000  0.000
Au  0.000  0.000  0.500
Se  0.500  0.500  0.500


Entry from Alexandria via LeMat-Bulk: a relaxed structure of LiIn2Mo (PBE).

Summary:
For the offset from the most stable computed form, the calculation gives 139 meV per atom. Its symmetry is I4/mmm (139). The magnetic moment comes out at 1.0 μB per formula unit. The value obtained for the formation energy is 0.92 eV per formula unit. Its uncorrected energy is -17.3 eV/cell.

Unit cell a=5.138 b=5.138 c=5.138 alpha=131.77 beta=131.75 gamma=70.61
Last column: magnetic moment on the atom in μB.
Fractional coordinates of all 4 atoms:
In  0.000  0.000  0.000  -0.01
In  0.500  0.500  0.000  -0.01
Li  0.750  0.250  0.500  0.00
Mo  0.250  0.750  0.500  0.82


Number 2 is which compound? LiIn2Mo


uncorrected energy of number 1 (Sr2Au2Se)? -16.5 eV/cell


Which of these has the highest uncorrected energy? Sr2Au2Se


Which formula does entry 2 have? LiIn2Mo